## SrFe2WF (PBE with a Hubbard U)

Data for an optimized crystal structure of SrFe2WF.

Cell and atoms, written as CIF:
```
data_SrFe2WF
_symmetry_space_group_name_H-M 'P 4/m m m'
_symmetry_Int_Tables_number 123
_symmetry_space_group_name_Hall '-P 4 2'
_cell_length_a 5.589
_cell_length_b 5.589
_cell_length_c 6.630
_cell_angle_alpha 90.00
_cell_angle_beta 90.00
_cell_angle_gamma 90.00
loop_
_atom_site_label
_atom_site_type_symbol
_atom_site_fract_x
_atom_site_fract_y
_atom_site_fract_z
_atom_site_occupancy
Sr1 Sr 0.000 0.000 0.000 1
Fe1 Fe 0.000 0.500 0.000 1
W1 W 0.000 0.000 0.500 1
F1 F 0.500 0.500 0.500 1
```

Total energy: -12.6 eV/cell